Record 1
Entry from Alexandria: crystalline MgReW at its relaxed geometry (PBE-GGA).

Output
Polymorph energy (0 for the lowest one): 618 meV per atom
Total moment: 0.00 μB per formula unit

a b c (Å): 4.320 4.320 4.320
angles (deg): 60.00 60.00 60.00
Atoms (fractional coordinates):
Mg 0.500 0.500 0.500
Re 0.750 0.750 0.750
W 0.000 0.000 0.000


Record 2
Entry from Alexandria: crystalline MgRe3W at its relaxed geometry (PBE-GGA).

Output
Polymorph energy (0 for the lowest one): 388 meV per atom
Total moment: 0.00 μB per formula unit

a b c (Å): 4.403 4.403 4.403
angles (deg): 90.00 90.00 90.00
Atoms (fractional coordinates):
Re 0.000 0.500 0.000
Re 0.000 0.000 0.500
Re 0.500 0.000 0.000
Mg 0.000 0.000 0.000
W 0.500 0.500 0.500


Record 3
Entry from Alexandria: crystalline MgReW2 at its relaxed geometry (PBE-GGA).

Output
VASP energy: -9.50 eV/atom
Total moment: 0.00 μB per formula unit

a b c (Å): 4.908 4.908 4.908
angles (deg): 131.83 131.83 70.50
Atoms (fractional coordinates):
Mg 0.500 0.500 0.000
Re 0.750 0.250 0.500
W 0.000 0.000 0.000
W 0.250 0.750 0.500


Record 4
Entry from Alexandria: crystalline MgReW at its relaxed geometry (PBE-GGA).

Output
Polymorph energy (0 for the lowest one): 0 meV per atom
Total moment: 0.00 μB per formula unit

a b c (Å): 4.504 4.504 2.721
angles (deg): 90.00 90.00 120.00
Atoms (fractional coordinates):
Mg 0.000 0.000 0.007
Re 0.333 0.667 0.371
W 0.667 0.333 0.622


Q: What is the total moment in the fourth record?
A: 0.00 μB per formula unit


Repeat the third record exactly.
Entry from Alexandria: crystalline MgReW2 at its relaxed geometry (PBE-GGA).

Output
VASP energy: -9.50 eV/atom
Total moment: 0.00 μB per formula unit

a b c (Å): 4.908 4.908 4.908
angles (deg): 131.83 131.83 70.50
Atoms (fractional coordinates):
Mg 0.500 0.500 0.000
Re 0.750 0.250 0.500
W 0.000 0.000 0.000
W 0.250 0.750 0.500


Q: Look up the total moment of the fourth one.
A: 0.00 μB per formula unit


Q: Number 3 is which compound?
A: MgReW2